# 1
The following is a DFT calculation (PBE) of a geometry-optimized Pa2GaO structure.

a b c (Å): 8.5299 8.5299 8.5299
angles (deg): 21.76 21.76 21.76
Last column: nearest neighbours and their distance in Å.
Positions (direct):
Pa1 0.2326 0.2326 0.2326  3 O 2.48
Pa2 0.7674 0.7674 0.7674  3 O 2.48
Ga1 0.0000 0.0000 0.0000  6 Pa 3.13, 6 Ga 3.22
O1 0.5000 0.5000 0.5000  6 Pa 2.48

## Properties
**Density of states at the Fermi level**: 1.21 states/eV per atom
**Relative energy among the computed polymorphs**: 0.00 eV/f.u.

# 2
The following is a DFT calculation (PBE) of a geometry-optimized PaGaPbO5 structure.

a b c (Å): 6.0925 6.0925 8.0729
angles (deg): 103.99 103.99 106.87
Last column: nearest neighbours and their distance in Å.
Positions (direct):
Pa1 0.0000 0.0000 0.0000  6 O 2.16-2.23
Pa2 0.0000 0.0000 0.5000  6 O 2.16-2.23
Ga1 0.3175 0.6825 0.7500  4 O 1.87-1.88
Ga2 0.6825 0.3175 0.2500  4 O 1.87-1.88
Pb1 0.3323 0.6677 0.2500  5 O 2.46-2.67
Pb2 0.6677 0.3323 0.7500  5 O 2.46-2.67
O1 0.0810 0.9190 0.2500  2 Pa 2.17
O2 0.1015 0.6900 0.8806  1 Ga 1.88
O3 0.2499 0.3727 0.5912  1 Ga 1.87
O4 0.3100 0.8985 0.6194  1 Ga 1.88
O5 0.3727 0.2499 0.0912  1 Ga 1.87
O6 0.6273 0.7501 0.9088  1 Ga 1.87
O7 0.6900 0.1015 0.3806  1 Ga 1.88
O8 0.7501 0.6273 0.4088  1 Ga 1.87
O9 0.8985 0.3100 0.1194  1 Ga 1.88
O10 0.9190 0.0810 0.7500  2 Pa 2.17

## Properties
**Density of states at the Fermi level**: 0.00 states/eV per atom

# 3
The following is a DFT calculation (PBE) of a geometry-optimized Pa2GaPbO8 structure.

a b c (Å): 4.9984 4.9984 7.0632
angles (deg): 90.00 90.00 91.37
Last column: nearest neighbours and their distance in Å.
Positions (direct):
Pa1 0.0000 0.0000 0.2413  6 O 2.16-2.23
Pa2 0.0000 0.0000 0.7587  6 O 2.16-2.23
Ga1 0.5000 0.5000 0.0000  6 O 2.03-2.20
Pb1 0.5000 0.5000 0.5000  6 O 2.30-2.42
O1 0.1783 0.8217 0.5000  2 Pa 2.23, 1 Pb 2.30
O2 0.1922 0.8078 0.0000  2 Pa 2.19, 1 Ga 2.20
O3 0.3074 0.3074 0.2145  1 Ga 2.03, 1 Pa 2.16
O4 0.3074 0.3074 0.7855  1 Ga 2.03, 1 Pa 2.16
O5 0.6926 0.6926 0.2145  1 Ga 2.03, 1 Pa 2.16
O6 0.6926 0.6926 0.7855  1 Ga 2.03, 1 Pa 2.16
O7 0.8078 0.1922 0.0000  2 Pa 2.19, 1 Ga 2.20
O8 0.8217 0.1783 0.5000  2 Pa 2.23, 1 Pb 2.30

## Properties
**Density of states at the Fermi level**: 0.20 states/eV per atom

# 4
The following is a DFT calculation (PBE) of a geometry-optimized PaGa2Pb3O9 structure.

a b c (Å): 5.7640 5.7640 7.2973
angles (deg): 90.00 90.00 120.00
Last column: nearest neighbours and their distance in Å.
Positions (direct):
Pa1 0.0000 0.0000 0.0000  6 O 2.16
Ga1 0.3333 0.6667 0.6734  6 O 1.94-2.09
Ga2 0.6667 0.3333 0.3266  6 O 1.94-2.09
Pb1 0.0000 0.0000 0.5000  12 O 2.85-2.88
Pb2 0.3333 0.6667 0.2463  3 O 2.49
Pb3 0.6667 0.3333 0.7537  3 O 2.49
O1 0.0000 0.5000 0.5000  2 Ga 2.09
O2 0.1685 0.3369 0.8150  1 Ga 1.94, 1 Pa 2.16
O3 0.1685 0.8315 0.8150  1 Ga 1.94, 1 Pa 2.16
O4 0.3369 0.1685 0.1850  1 Ga 1.94, 1 Pa 2.16
O5 0.5000 0.0000 0.5000  2 Ga 2.09
O6 0.5000 0.5000 0.5000  2 Ga 2.09
O7 0.6631 0.8315 0.8150  1 Ga 1.94, 1 Pa 2.16
O8 0.8315 0.1685 0.1850  1 Ga 1.94, 1 Pa 2.16
O9 0.8315 0.6631 0.1850  1 Ga 1.94, 1 Pa 2.16

## Properties
**Density of states at the Fermi level**: 0.63 states/eV per atom

# 5
The following is a DFT calculation (PBE) of a geometry-optimized PaGa3Pb4O12 structure.

a b c (Å): 7.0705 7.0705 7.0705
angles (deg): 109.47 109.47 109.47
Last column: nearest neighbours and their distance in Å.
Positions (direct):
Pa1 0.0000 0.0000 0.0000  6 O 2.14
Ga1 0.0000 0.5000 0.5000  6 O 1.94-2.04
Ga2 0.5000 0.0000 0.5000  6 O 1.94-2.04
Ga3 0.5000 0.5000 0.0000  6 O 1.94-2.04
Pb1 0.0000 0.0000 0.5000  12 O 2.89
Pb2 0.0000 0.5000 0.0000  12 O 2.89
Pb3 0.5000 0.0000 0.0000  12 O 2.89
Pb4 0.5000 0.5000 0.5000  12 O 2.89
O1 0.0000 0.2619 0.2619  1 Ga 1.94, 1 Pa 2.14
O2 0.0000 0.7381 0.7381  1 Ga 1.94, 1 Pa 2.14
O3 0.2500 0.5000 0.7500  2 Ga 2.04
O4 0.2500 0.7500 0.5000  2 Ga 2.04
O5 0.2619 0.0000 0.2619  1 Ga 1.94, 1 Pa 2.14
O6 0.2619 0.2619 0.0000  1 Ga 1.94, 1 Pa 2.14
O7 0.5000 0.2500 0.7500  2 Ga 2.04
O8 0.5000 0.7500 0.2500  2 Ga 2.04
O9 0.7381 0.0000 0.7381  1 Ga 1.94, 1 Pa 2.14
O10 0.7381 0.7381 0.0000  1 Ga 1.94, 1 Pa 2.14
O11 0.7500 0.2500 0.5000  2 Ga 2.04
O12 0.7500 0.5000 0.2500  2 Ga 2.04

## Properties
**Density of states at the Fermi level**: 0.67 states/eV per atom

# 6
The following is a DFT calculation (PBE) of a geometry-optimized PaGa2PbO8 structure.

a b c (Å): 5.9596 5.9596 5.9596
angles (deg): 109.22 109.22 109.97
Last column: nearest neighbours and their distance in Å.
Positions (direct):
Pa1 0.0000 0.0000 0.0000  8 O 2.17-2.43
Ga1 0.2500 0.7500 0.5000  4 O 1.85
Ga2 0.5000 0.5000 0.0000  4 O 1.86
Pb1 0.7500 0.2500 0.5000  4 O 2.20
O1 0.0606 0.3697 0.3091  1 Ga 1.85
O2 0.0606 0.7514 0.6909  1 Ga 1.85
O3 0.1168 0.3017 0.8150  1 Ga 1.86
O4 0.2486 0.9394 0.3091  1 Ga 1.85
O5 0.4867 0.3017 0.1850  1 Ga 1.86
O6 0.6303 0.9394 0.6909  1 Ga 1.85
O7 0.6983 0.5133 0.8150  1 Ga 1.86
O8 0.6983 0.8832 0.1850  1 Ga 1.86

## Properties
**Density of states at the Fermi level**: 0.92 states/eV per atom

# 7
The following is a DFT calculation (PBE) of a geometry-optimized PaGaPb2O8 structure.

a b c (Å): 4.9974 4.9974 6.6902
angles (deg): 90.00 90.00 90.37
Last column: nearest neighbours and their distance in Å.
Positions (direct):
Pa1 0.0000 0.0000 0.0000  6 O 2.19
Ga1 0.0000 0.0000 0.5000  6 O 2.04-2.06
Pb1 0.5000 0.5000 0.2636  6 O 2.18-2.22
Pb2 0.5000 0.5000 0.7364  6 O 2.18-2.22
O1 0.1849 0.1849 0.2623  1 Ga 2.06, 1 Pa 2.19, 1 Pb 2.22
O2 0.1849 0.1849 0.7377  1 Ga 2.06, 1 Pa 2.19, 1 Pb 2.22
O3 0.2880 0.7120 0.5000  1 Ga 2.04, 2 Pb 2.18
O4 0.3090 0.6911 0.0000  1 Pa 2.19, 2 Pb 2.22
O5 0.6911 0.3090 0.0000  1 Pa 2.19, 2 Pb 2.22
O6 0.7120 0.2880 0.5000  1 Ga 2.04, 2 Pb 2.18
O7 0.8151 0.8151 0.2623  1 Ga 2.06, 1 Pa 2.19, 1 Pb 2.22
O8 0.8151 0.8151 0.7377  1 Ga 2.06, 1 Pa 2.19, 1 Pb 2.22

# 8
The following is a DFT calculation (PBE) of a geometry-optimized PaGaPb2O6 structure.

a b c (Å): 5.7330 5.7330 4.6139
angles (deg): 90.00 90.00 90.00
Last column: nearest neighbours and their distance in Å.
Positions (direct):
Pa1 0.0000 0.0000 0.0000  6 O 2.13-2.39
Ga1 0.5000 0.5000 0.9640  5 O 1.84-2.00
Pb1 0.0000 0.5000 0.4302  8 O 2.63-2.93
Pb2 0.5000 0.0000 0.4302  8 O 2.63-2.93
O1 0.0000 0.0000 0.5179  2 Pa 2.22-2.39
O2 0.2603 0.2603 0.0691  1 Ga 2.00, 1 Pa 2.13
O3 0.2603 0.7397 0.0691  1 Ga 2.00, 1 Pa 2.13
O4 0.5000 0.5000 0.5645  1 Ga 1.84
O5 0.7397 0.2603 0.0691  1 Ga 2.00, 1 Pa 2.13
O6 0.7397 0.7397 0.0691  1 Ga 2.00, 1 Pa 2.13

## Properties
**Density of states at the Fermi level**: 0.00 states/eV per atom

# 9
The following is a DFT calculation (PBE) of a geometry-optimized PmPaGaO6 structure.

a b c (Å): 5.4987 5.4987 4.8137
angles (deg): 90.00 90.00 120.00
Last column: nearest neighbours and their distance in Å.
Positions (direct):
Pm1 0.0000 0.0000 0.0000  6 O 2.33
Pa1 0.6667 0.3333 0.5000  6 O 2.19
Ga1 0.3333 0.6667 0.0000  6 O 2.04
O1 0.0129 0.3757 0.2391  1 Ga 2.04, 1 Pa 2.19
O2 0.0129 0.6372 0.7609  1 Ga 2.04, 1 Pa 2.19
O3 0.3628 0.3757 0.7609  1 Ga 2.04, 1 Pa 2.19
O4 0.3628 0.9871 0.2391  1 Ga 2.04, 1 Pa 2.19
O5 0.6243 0.6372 0.2391  1 Ga 2.04, 1 Pa 2.19
O6 0.6243 0.9871 0.7609  1 Ga 2.04, 1 Pa 2.19

## Properties
**Density of states at the Fermi level**: 0.75 states/eV per atom

# 10
The following is a DFT calculation (PBE) of a geometry-optimized PrPaGaO6 structure.

a b c (Å): 5.5388 5.5388 4.8318
angles (deg): 90.00 90.00 120.00
Last column: nearest neighbours and their distance in Å.
Positions (direct):
Pr1 0.0000 0.0000 0.0000  6 O 2.38
Pa1 0.6667 0.3333 0.5000  6 O 2.19
Ga1 0.3333 0.6667 0.0000  6 O 2.05
O1 0.0126 0.3809 0.2397  1 Ga 2.05, 1 Pa 2.19
O2 0.0126 0.6317 0.7603  1 Ga 2.05, 1 Pa 2.19
O3 0.3683 0.3809 0.7603  1 Ga 2.05, 1 Pa 2.19
O4 0.3683 0.9874 0.2397  1 Ga 2.05, 1 Pa 2.19
O5 0.6191 0.6317 0.2397  1 Ga 2.05, 1 Pa 2.19
O6 0.6191 0.9874 0.7603  1 Ga 2.05, 1 Pa 2.19

## Properties
**Density of states at the Fermi level**: 0.74 states/eV per atom

# 11
The following is a DFT calculation (PBE) of a geometry-optimized PaGaPtO6 structure.

a b c (Å): 4.8461 4.8461 9.5871
angles (deg): 90.00 90.00 90.00
Last column: nearest neighbours and their distance in Å.
Positions (direct):
Pa1 0.0000 0.0000 0.0000  6 O 2.16-2.20
Pa2 0.5000 0.5000 0.5000  6 O 2.16-2.20
Ga1 0.0000 0.0000 0.6656  6 O 2.01-2.06
Ga2 0.5000 0.5000 0.1656  6 O 2.01-2.06
Pt1 0.0000 0.0000 0.3309  6 O 2.03-2.07
Pt2 0.5000 0.5000 0.8309  6 O 2.03-2.07
O1 0.1794 0.1794 0.4993  1 Ga 2.01, 1 Pt 2.03, 1 Pa 2.20
O2 0.2011 0.2011 0.8252  1 Pt 2.05, 1 Ga 2.06, 1 Pa 2.17
O3 0.2041 0.2041 0.1716  1 Ga 2.03, 1 Pt 2.07, 1 Pa 2.16
O4 0.2959 0.7041 0.6716  1 Ga 2.03, 1 Pt 2.07, 1 Pa 2.16
O5 0.2989 0.7011 0.3252  1 Pt 2.05, 1 Ga 2.06, 1 Pa 2.17
O6 0.3206 0.6794 0.9993  1 Ga 2.01, 1 Pt 2.03, 1 Pa 2.20
O7 0.6794 0.3206 0.9993  1 Ga 2.01, 1 Pt 2.03, 1 Pa 2.20
O8 0.7011 0.2989 0.3252  1 Pt 2.05, 1 Ga 2.06, 1 Pa 2.17
O9 0.7041 0.2959 0.6716  1 Ga 2.03, 1 Pt 2.07, 1 Pa 2.16
O10 0.7959 0.7959 0.1716  1 Ga 2.03, 1 Pt 2.07, 1 Pa 2.16
O11 0.7989 0.7989 0.8252  1 Pt 2.05, 1 Ga 2.06, 1 Pa 2.17
O12 0.8206 0.8206 0.4993  1 Ga 2.01, 1 Pt 2.03, 1 Pa 2.20

# 12
The following is a DFT calculation (PBE) of a geometry-optimized PaGaPt2O8 structure.

a b c (Å): 5.9188 5.9188 5.9188
angles (deg): 110.04 110.04 108.33
Last column: nearest neighbours and their distance in Å.
Positions (direct):
Pa1 0.0000 0.0000 0.0000  8 O 2.24-2.32
Ga1 0.2500 0.7500 0.5000  8 O 2.16-2.24
Pt1 0.5000 0.5000 0.0000  4 O 1.96
Pt2 0.7500 0.2500 0.5000  4 O 1.94
O1 0.2820 0.0979 0.8159  1 Pt 1.96, 1 Ga 2.16
O2 0.2820 0.4661 0.1841  1 Pt 1.96, 1 Ga 2.16
O3 0.3555 0.0264 0.3291  1 Pt 1.94
O4 0.5339 0.7180 0.8159  1 Pt 1.96, 1 Ga 2.16
O5 0.6973 0.0264 0.6709  1 Pt 1.94
O6 0.9021 0.7180 0.1841  1 Pt 1.96, 1 Ga 2.16
O7 0.9736 0.3027 0.3291  1 Pt 1.94
O8 0.9736 0.6445 0.6709  1 Pt 1.94

## Properties
**Density of states at the Fermi level**: 0.08 states/eV per atom

Number 1: ΔE_f (raw) -120.55 kJ/mol of atoms, calculated density 12.2 g cm⁻³, total moment 0.000 μB per atom. Number 2: ΔE_f (raw) -235.33 kJ/mol of atoms, calculated density 7.5 g cm⁻³, total moment 0.000 μB per atom. Number 3: ΔE_f (raw) -248.04 kJ/mol of atoms, calculated density 8.2 g cm⁻³, total moment 0.000 μB per atom. Number 4: ΔE_f (raw) -173.90 kJ/mol of atoms, calculated density 9.0 g cm⁻³, total moment 0.000 μB per atom. Number 5: ΔE_f (raw) -152.11 kJ/mol of atoms, calculated density 8.9 g cm⁻³, total moment 0.103 μB per atom. Number 6: ΔE_f (raw) -178.50 kJ/mol of atoms, calculated density 7.2 g cm⁻³, total moment 0.050 μB per atom. Number 7: ΔE_f (raw) -171.10 kJ/mol of atoms, calculated density 8.4 g cm⁻³, total moment 0.000 μB per atom. Number 8: ΔE_f (raw) -199.44 kJ/mol of atoms, calculated density 8.9 g cm⁻³, total moment 0.000 μB per atom. Number 9: ΔE_f (raw) -255.15 kJ/mol of atoms, calculated density 7.1 g cm⁻³, total moment 0.077 μB per atom. Number 10: ΔE_f (raw) -251.35 kJ/mol of atoms, calculated density 7.0 g cm⁻³, total moment 0.084 μB per atom. Number 11: ΔE_f (raw) -192.62 kJ/mol of atoms, calculated density 8.7 g cm⁻³, total moment 0.000 μB per atom. Number 12: ΔE_f (raw) -119.54 kJ/mol of atoms, calculated density 8.5 g cm⁻³, total moment 0.000 μB per atom.